1.
Er12Tl5H2 | PBE-GGA | relaxed

Cell: 8.676 8.676 8.149 Å, 110.45 110.45 68.38°
Atoms (fractional coordinates):
Er 0.004 0.004 0.216
Er 0.081 0.663 0.447
Er 0.098 0.623 0.920
Er 0.337 0.919 0.553
Er 0.377 0.902 0.080
Er 0.435 0.435 0.285
Er 0.565 0.565 0.715
Er 0.623 0.098 0.920
Er 0.663 0.081 0.447
Er 0.902 0.377 0.080
Er 0.919 0.337 0.553
Er 0.996 0.996 0.784
Tl 0.234 0.234 0.918
Tl 0.263 0.263 0.435
Tl 0.500 0.500 0.000
Tl 0.737 0.737 0.565
Tl 0.766 0.766 0.082
H 0.351 0.649 0.500
H 0.649 0.351 0.500

Total energy, eV/f.u.: -75.88

***

2.
LaSm2Nb | PBE-GGA | relaxed

Cell: 12.172 12.172 12.172 Å, 15.83 15.83 15.83°
Atoms (fractional coordinates):
La 0.000 0.000 0.000
Sm 0.420 0.420 0.420
Sm 0.580 0.580 0.580
Nb 0.500 0.500 0.500

Total energy, eV/f.u.: -22.05
Energy of formation from the pure elements, meV per atom: 596

***

3.
Li2CuAu8 | PBE-GGA | relaxed

Cell: 7.549 7.549 6.447 Å, 104.93 104.93 31.59°
Atoms (fractional coordinates):
Li 0.224 0.224 0.147
Li 0.776 0.776 0.853
Cu 0.500 0.500 0.500
Au 0.045 0.045 0.232
Au 0.141 0.141 0.692
Au 0.321 0.321 0.589
Au 0.403 0.403 0.049
Au 0.597 0.597 0.951
Au 0.679 0.679 0.411
Au 0.859 0.859 0.308
Au 0.955 0.955 0.768

Total energy, eV/f.u.: -36.64
Relative energy among the computed polymorphs, eV/atom: 0.000
Energy of formation from the pure elements, meV per atom: -227

***

4.
Y2AlHgC | PBE-GGA | relaxed

Cell: 5.054 5.054 3.964 Å, 90.00 90.00 90.00°
Atoms (fractional coordinates):
Y 0.000 0.500 0.000
Y 0.500 0.000 0.000
Al 0.000 0.000 0.500
Hg 0.500 0.500 0.500
C 0.000 0.000 0.000

Total energy, eV/f.u.: -28.18
Relative energy among the computed polymorphs, eV/atom: 0.000
Energy of formation from the pure elements, meV per atom: -398

***

5.
Pm3Sm2YS6 | PBE-GGA | relaxed

Cell: 6.943 6.943 6.941 Å, 99.57 99.57 120.18°
Atoms (fractional coordinates):
Pm 0.000 0.000 0.000
Pm 0.331 0.669 0.000
Pm 0.669 0.331 0.000
Sm 0.167 0.833 0.500
Sm 0.833 0.167 0.500
Y 0.500 0.500 0.500
S 0.091 0.419 0.256
S 0.254 0.254 0.746
S 0.419 0.091 0.256
S 0.581 0.909 0.744
S 0.746 0.746 0.254
S 0.909 0.581 0.744

Total energy, eV/f.u.: -79.26
Raw formation energy, meV/atom: -2028.4

***

6.
Ac2Zn5Pb | PBE-GGA | relaxed

Cell: 8.979 8.979 9.418 Å, 90.00 90.00 149.54°
Atoms (fractional coordinates):
Ac 0.000 0.000 0.000
Ac 0.000 0.000 0.500
Ac 0.208 0.792 0.750
Ac 0.792 0.208 0.250
Zn 0.184 0.816 0.109
Zn 0.184 0.816 0.391
Zn 0.341 0.659 0.008
Zn 0.341 0.659 0.492
Zn 0.396 0.604 0.750
Zn 0.604 0.396 0.250
Zn 0.659 0.341 0.508
Zn 0.659 0.341 0.992
Zn 0.816 0.184 0.609
Zn 0.816 0.184 0.891
Pb 0.442 0.558 0.250
Pb 0.558 0.442 0.750

Total energy, eV/f.u.: -21.05
Energy of formation from the pure elements, meV per atom: -345

***

| no. | D(E_F) (states/eV/cell) |
| --- | --- |
| 1 | 16.4 |
| 2 | 7.6 |
| 3 | 2.8 |
| 4 | 3.2 |
| 5 | 5.1 |
| 6 | 9.3 |